[1]
The following is a DFT calculation (PBE) of a geometry-optimized Pm8SnBi5 structure.

The calculation puts the size of the total moment at 0.00 μB/atom. The calculation puts the formation energy at -0.81 eV/atom.

a b c (Å): 8.325 8.325 8.325
angles (deg): 109.53 109.35 109.53
Positions (direct):
Pm 0.125 0.745 0.013
Pm 0.987 0.112 0.732
Pm 0.774 0.254 0.380
Pm 0.620 0.394 0.873
Pm 0.479 0.606 0.226
Pm 0.620 0.888 0.875
Pm 0.268 0.255 0.380
Pm 0.127 0.746 0.521
Sn 0.250 0.500 0.750
Bi 0.996 0.373 0.122
Bi 0.878 0.874 0.251
Bi 0.749 0.627 0.624
Bi 0.500 0.000 0.500
Bi 0.376 0.126 0.004

[2]
The following is a DFT calculation (PBE) of a geometry-optimized Ac8Te3Pt3N structure.

Its uncorrected formation energy is -1.129 eV/atom. The calculation puts the size of the total moment at 0.04 μB/atom.

a b c (Å): 8.686 8.836 9.565
angles (deg): 118.14 90.00 119.44
Positions (direct):
Ac 0.263 0.525 0.291
Ac 0.737 0.475 0.709
Ac 0.756 0.512 0.286
Ac 0.244 0.488 0.714
Ac 0.786 0.020 0.309
Ac 0.214 0.980 0.691
Ac 0.233 0.020 0.309
Ac 0.767 0.980 0.691
Te 0.000 0.000 0.000
Te 0.000 0.500 0.000
Te 0.500 0.500 0.000
Pt 0.500 0.000 0.500
Pt 0.500 0.500 0.500
Pt 0.000 0.500 0.500
N 0.000 0.000 0.500

[3]
The following is a DFT calculation (PBE) of a geometry-optimized Pr2AlInGe structure.

The calculation puts the size of the total moment at 0.00 μB/atom. The calculation puts the formation energy at -0.54 eV/atom.

a b c (Å): 4.618 7.837 7.620
angles (deg): 90.06 90.00 90.00
Positions (direct):
Pr 0.750 0.782 0.502
Pr 0.750 0.781 0.999
Pr 0.250 0.218 0.498
Pr 0.250 0.219 0.001
Al 0.250 0.590 0.749
Al 0.750 0.410 0.251
In 0.250 0.597 0.251
In 0.750 0.403 0.749
Ge 0.250 0.909 0.750
Ge 0.750 0.091 0.250

[4]
The following is a DFT calculation (PBE) of a geometry-optimized Pr2Tm4Mg structure.

The calculation puts the size of the total moment at 0.14 μB/atom. The calculation puts the formation energy at 0.34 eV/atom.

a b c (Å): 8.224 8.224 6.702
angles (deg): 127.84 127.84 90.00
Site moments in Bohr magnetons follow the coordinates.
Positions (direct):
Pr 0.750 0.250 0.500  0.05
Pr 0.250 0.750 0.500  0.05
Tm 0.869 0.271 0.139  0.15
Tm 0.271 0.869 0.139  0.15
Tm 0.729 0.729 0.861  0.15
Tm 0.131 0.131 0.861  0.15
Mg 0.500 0.500 0.000  0.00

[5]
The following is a DFT calculation (PBE) of a geometry-optimized MgCrOs structure.

The calculation puts the size of the total moment at 0.00 μB/atom. As for the energy above the lowest structure with this stoichiometry: 220 meV/atom. The calculation puts the formation energy at 0.25 eV/atom.

a b c (Å): 4.273 4.273 2.686
angles (deg): 90.00 90.00 120.00
Positions (direct):
Cr 0.000 0.000 0.958
Mg 0.333 0.667 0.321
Os 0.667 0.333 0.721

[6]
The following is a DFT calculation (PBE) of a geometry-optimized Er4CdCu2 structure.

The calculation puts the size of the total moment at 0.00 μB/atom. As for the energy above the lowest structure with this stoichiometry: 108 meV/atom. The calculation puts the formation energy at -0.02 eV/atom.

a b c (Å): 4.814 4.814 9.338
angles (deg): 75.06 75.06 60.00
Positions (direct):
Er 0.386 0.386 0.842
Er 0.203 0.203 0.390
Er 0.797 0.797 0.610
Er 0.614 0.614 0.158
Cd 0.000 0.000 0.000
Cu 0.098 0.098 0.705
Cu 0.902 0.902 0.295

[7]
The following is a DFT calculation (PBE) of a geometry-optimized CsMn4S8 structure.

Its uncorrected formation energy is -0.717 eV/atom. The calculation puts the size of the total moment at 0.85 μB/atom.

a b c (Å): 6.703 6.703 9.453
angles (deg): 69.23 69.23 60.00
Site moments in Bohr magnetons follow the coordinates.
Positions (direct):
Cs 0.500 0.500 0.500  0.00
Mn 0.500 0.000 0.000  2.73
Mn 0.500 0.500 0.000  2.73
Mn 0.000 0.500 0.000  2.73
Mn 0.000 0.000 0.000  2.67
S 0.783 0.281 0.152  -0.03
S 0.719 0.217 0.848  -0.03
S 0.217 0.719 0.848  -0.03
S 0.217 0.217 0.848  -0.03
S 0.282 0.282 0.153  -0.03
S 0.718 0.718 0.847  -0.03
S 0.783 0.783 0.152  -0.03
S 0.281 0.783 0.152  -0.03

[8]
The following is a DFT calculation (PBE) of a geometry-optimized SrAgI2 structure.

Its uncorrected formation energy is -0.749 eV/atom. The calculation puts the size of the total moment at 0.00 μB/atom. As for the energy above the lowest structure with this stoichiometry: 0 meV/atom.

a b c (Å): 5.733 5.733 5.733
angles (deg): 60.00 60.00 60.00
Positions (direct):
I 0.250 0.250 0.250
I 0.750 0.750 0.750
Sr 0.000 0.000 0.000
Ag 0.500 0.500 0.500

Result set for final energy: -5.20; -5.71; -4.67; -3.81; -7.23; -3.93; -6.14; -2.66 eV per atom, one per record in the order listed.